[1]
Below is crystalline KTmFe at its relaxed geometry, with properties calculated at the PBE-GGA level.

It has space group F-43m (No. 216), with a = 7.217 Å, b = 7.217 Å, c = 7.217 Å, α = 90.00°, β = 90.00° and γ = 90.00°. The inequivalent atoms are K at (0.000, 0.000, 0.000), Tm at (0.250, 0.250, 0.750) and Fe at (0.000, 0.000, 0.500).

The value obtained for the distance to the lowest polymorph of the same formula is 0.0000 eV/atom.

[2]
Below is crystalline LaFe at its relaxed geometry, with properties calculated at the PBE-GGA level.

It has space group P6_3mc (No. 186), with a = 4.4891 Å, b = 4.4891 Å, c = 5.9275 Å, α = 90.00°, β = 90.00° and γ = 120.00°. The inequivalent atoms are La at (0.3333, 0.6667, 0.0000) and Fe at (0.3333, 0.6667, 0.4984).

The total DFT energy (no corrections) is -5.657 eV/atom.

[3]
Below is crystalline LaFe2 at its relaxed geometry, with properties calculated at the PBE-GGA level.

It has space group P4_2/mnm (No. 136), with a = 5.151 Å, b = 5.151 Å, c = 4.373 Å, α = 90.00°, β = 90.00° and γ = 90.00°. The inequivalent atoms are La at (0.000, 0.000, 0.000) and Fe at (0.163, 0.163, 0.500).

The total DFT energy (no corrections) is -5.713 eV/atom.

| no. | total magnetic moment (μB/f.u.) |
| --- | --- |
| 1 | 2.22 |
| 2 | 1.07 |
| 3 | 2.92 |